1.
Material: Ta3Tc2W
Method: DFT, PBE
State: optimized geometry

The structure in CIF format:
```
data_Ta3Tc2W
_space_group_name_H-M_alt 'P 4/m m m'
_space_group_IT_number 123
_space_group_name_Hall '-P 4 2'
_cell_length_a 3.202
_cell_length_b 3.202
_cell_length_c 9.657
_cell_angle_alpha 90.00
_cell_angle_beta 90.00
_cell_angle_gamma 90.00
loop_
_atom_site_label
_atom_site_fract_x
_atom_site_fract_y
_atom_site_fract_z
_atom_site_occupancy
Ta1 0.000 0.000 0.000 1
Ta2 0.000 0.000 0.330 1
Tc1 0.500 0.500 0.164 1
W1 0.500 0.500 0.500 1
```

Summary:
calculated volume = 99.03 Å³/cell
formation enthalpy at 0 K = -366 meV/atom
total magnetic moment = 0.00 Bohr magnetons per cell



2.
Material: Mg3TlSn
Method: DFT, PBE
State: optimized geometry

The structure in CIF format:
```
data_Mg3TlSn
_space_group_name_H-M_alt 'P m -3 m'
_space_group_IT_number 221
_space_group_name_Hall '-P 4 2 3'
_cell_length_a 5.419
_cell_length_b 5.419
_cell_length_c 5.419
_cell_angle_alpha 90.00
_cell_angle_beta 90.00
_cell_angle_gamma 90.00
loop_
_atom_site_label
_atom_site_fract_x
_atom_site_fract_y
_atom_site_fract_z
_atom_site_occupancy
Mg1 0.000 0.000 0.500 1
Tl1 0.500 0.500 0.500 1
Sn1 0.000 0.000 0.000 1
```

Summary:
E above lowest polymorph = 148.3 kJ/mol of formula units
calculated volume = 159.15 Å³/cell
formation enthalpy at 0 K = 259 meV/atom
total magnetic moment = 0.00 Bohr magnetons per cell



3.
Material: SmPu2Tc9
Method: DFT, PBE
State: optimized geometry

The structure in CIF format:
```
data_SmPu2Tc9
_space_group_name_H-M_alt 'R -3 m'
_space_group_IT_number 166
_space_group_name_Hall '-R 3 2"'
_cell_length_a 5.2486
_cell_length_b 5.2486
_cell_length_c 27.1048
_cell_angle_alpha 90.00
_cell_angle_beta 90.00
_cell_angle_gamma 120.00
loop_
_atom_site_label
_atom_site_fract_x
_atom_site_fract_y
_atom_site_fract_z
_atom_site_occupancy
Sm1 0.0000 0.0000 0.0000 1
Pu1 0.0000 0.0000 0.1455 1
Tc1 0.0000 0.0000 0.3357 1
Tc2 0.0000 0.0000 0.5000 1
Tc3 0.0048 0.5024 0.9175 1
```

Summary:
calculated volume = 646.63 Å³/cell
formation enthalpy at 0 K = 84 meV/atom
total magnetic moment = 28.04 Bohr magnetons per cell



4.
Material: Nd4TlGeN
Method: DFT, PBE
State: optimized geometry

The structure in CIF format:
```
data_Nd4TlGeN
_space_group_name_H-M_alt 'C m c m'
_space_group_IT_number 63
_space_group_name_Hall '-C 2c 2'
_cell_length_a 6.884
_cell_length_b 16.219
_cell_length_c 6.894
_cell_angle_alpha 90.00
_cell_angle_beta 90.00
_cell_angle_gamma 90.00
loop_
_atom_site_label
_atom_site_fract_x
_atom_site_fract_y
_atom_site_fract_z
_atom_site_occupancy
Nd1 0.000 0.077 0.250 1
Nd2 0.000 0.414 0.250 1
Nd3 0.250 0.250 0.000 1
Tl1 0.000 0.391 0.750 1
Ge1 0.000 0.114 0.750 1
N1 0.000 0.256 0.250 1
```

Summary:
energy relative to the elements, uncorrected = -5.05 eV per formula unit
calculated volume = 769.65 Å³/cell
total magnetic moment = 0.00 Bohr magnetons per cell



5.
Material: NiPtRh
Method: DFT, PBE
State: optimized geometry

The structure in CIF format:
```
data_NiPtRh
_space_group_name_H-M_alt 'C 1 2/m 1'
_space_group_IT_number 12
_cell_length_a 8.584
_cell_length_b 3.805
_cell_length_c 5.379
_cell_angle_alpha 90.00
_cell_angle_beta 109.55
_cell_angle_gamma 90.00
loop_
_space_group_symop_operation_xyz
'x,y,z'
'-x,-y,-z'
'-x,y,-z'
'x,-y,z'
'x+1/2,y+1/2,z'
'-x+1/2,-y+1/2,-z'
'-x+1/2,y+1/2,-z'
'x+1/2,-y+1/2,z'
loop_
_atom_site_label
_atom_site_fract_x
_atom_site_fract_y
_atom_site_fract_z
_atom_site_occupancy
Ni1 0.167 0.000 0.083 1
Pt1 0.006 0.500 0.758 1
Rh1 0.171 0.000 0.588 1
```

Summary:
E above lowest polymorph = 3.1 kJ/mol of formula units
calculated volume = 165.55 Å³/cell
formation enthalpy at 0 K = -20 meV/atom
total magnetic moment = 5.56 Bohr magnetons per cell



6.
Material: PrNdSmN3
Method: DFT, PBE
State: optimized geometry

The structure in CIF format:
```
data_PrNdSmN3
_space_group_name_H-M_alt 'P 1 21/m 1'
_space_group_IT_number 11
_cell_length_a 6.248
_cell_length_b 3.587
_cell_length_c 9.409
_cell_angle_alpha 90.00
_cell_angle_beta 101.24
_cell_angle_gamma 90.00
loop_
_space_group_symop_operation_xyz
'x,y,z'
'-x,-y,-z'
'-x,y+1/2,-z'
'x,-y+1/2,z'
loop_
_atom_site_label
_atom_site_fract_x
_atom_site_fract_y
_atom_site_fract_z
_atom_site_occupancy
Pr1 0.162 0.250 0.200 1
Nd1 0.270 0.750 0.547 1
Sm1 0.342 0.250 0.863 1
N1 0.033 0.250 0.673 1
N2 0.252 0.750 0.998 1
N3 0.464 0.750 0.344 1
```

Summary:
energy relative to the elements, uncorrected = -7.29 eV per formula unit
calculated volume = 206.82 Å³/cell
total magnetic moment = 0.00 Bohr magnetons per cell



7.
Material: Mn3AlPd12
Method: DFT, PBE
State: optimized geometry

The structure in CIF format:
```
data_Mn3AlPd12
_space_group_name_H-M_alt 'P 4/m m m'
_space_group_IT_number 123
_space_group_name_Hall '-P 4 2'
_cell_length_a 3.931
_cell_length_b 3.931
_cell_length_c 15.562
_cell_angle_alpha 90.00
_cell_angle_beta 90.00
_cell_angle_gamma 90.00
loop_
_atom_site_label
_atom_site_fract_x
_atom_site_fract_y
_atom_site_fract_z
_atom_site_occupancy
Mn1 0.000 0.000 0.000 1
Mn2 0.000 0.000 0.251 1
Al1 0.000 0.000 0.500 1
Pd1 0.000 0.500 0.126 1
Pd2 0.000 0.500 0.377 1
Pd3 0.500 0.500 0.000 1
Pd4 0.500 0.500 0.251 1
Pd5 0.500 0.500 0.500 1
```

Summary:
calculated volume = 240.53 Å³/cell
formation enthalpy at 0 K = -316 meV/atom
total magnetic moment = 13.02 Bohr magnetons per cell



8.
Material: KCaMgN2
Method: DFT, PBE
State: optimized geometry

The structure in CIF format:
```
data_KCaMgN2
_space_group_name_H-M_alt 'P 4/m m m'
_space_group_IT_number 123
_space_group_name_Hall '-P 4 2'
_cell_length_a 4.326
_cell_length_b 4.326
_cell_length_c 4.869
_cell_angle_alpha 90.00
_cell_angle_beta 90.00
_cell_angle_gamma 90.00
loop_
_atom_site_label
_atom_site_fract_x
_atom_site_fract_y
_atom_site_fract_z
_atom_site_occupancy
K1 0.000 0.000 0.000 1
Ca1 0.500 0.500 0.000 1
Mg1 0.500 0.500 0.500 1
N1 0.000 0.500 0.500 1
```

Summary:
energy relative to the elements, uncorrected = 5.34 eV per formula unit
calculated volume = 91.10 Å³/cell
total magnetic moment = 1.14 Bohr magnetons per cell



Calculated theoretical density, 15.5; 4.1; 11.7; 7.5; 14.3; 7.7; 10.1; 2.4 Mg/m³ (same order as the records).